Here is a PBEsol-optimized structure of Li2SbAu from the Alexandria database. Energies are from SCAN.

Unit cell a=4.1465 b=4.1465 c=7.9370 alpha=90.00 beta=90.00 gamma=90.00
With the nearest neighbours (Å) after each atom.
Space group I4/mmm (No. 139)
One atom of each set of equivalent atoms:
Li 0.0000 0.5000 0.2500 (multiplicity 4)  4 Sb 2.87, 4 Au 2.87, 4 Li 2.93
Sb 0.0000 0.0000 0.0000 (multiplicity 2)  8 Li 2.87, 4 Au 2.93
Au 0.0000 0.0000 0.5000 (multiplicity 2)  8 Li 2.87, 4 Sb 2.93

Values from the calculation:
- crystal system = tetragonal
- ΔE_f (raw) (eV/atom) = -0.610

***

Here is a PBEsol-optimized structure of LiSc2Au from the Alexandria database. Energies are from SCAN.

Unit cell a=4.6472 b=4.6472 c=3.4708 alpha=90.00 beta=90.00 gamma=90.00
With the nearest neighbours (Å) after each atom.
Space group P4/mmm (No. 123)
One atom of each set of equivalent atoms:
Li 0.0000 0.0000 0.0000 (multiplicity 1)  8 Sc 2.90
Sc 0.0000 0.5000 0.5000 (multiplicity 2)  4 Li 2.90, 4 Au 2.90
Au 0.5000 0.5000 0.0000 (multiplicity 1)  8 Sc 2.90

Values from the calculation:
- crystal system = tetragonal
- distance to the lowest polymorph of the same formula (eV per atom) = 0.0535
- ΔH_f (0 K) (meV per atom) = -572

***

- Which formula does entry 2 have?
  LiSc2Au